Entry 1:
Here is a relaxed BeTlRe2 crystal from Alexandria. Energies are from PBE.

Calculated values
- DFT formation energy (kJ per mole of atoms) = 30
- DOS at the Fermi energy (states/eV per cell) = 1.78
- total magnetic moment (μB/f.u.) = 0.00
- mass density (g/cm³) = 15.6

a b c (Å): 3.0419 3.0419 6.7460
angles (deg): 90.00 90.00 90.00
Element x y z (fractional)
Re (0.0000, 0.0000, 0.9684)
Re (0.5000, 0.5000, 0.1984)
Be (0.5000, 0.5000, 0.8160)
Tl (0.0000, 0.0000, 0.5172)



Entry 2:
Here is a relaxed Be2TlRe crystal from Alexandria. Energies are from PBE.

Calculated values
- DFT formation energy (kJ per mole of atoms) = 68
- DOS at the Fermi energy (states/eV per cell) = 2.39
- total magnetic moment (μB/f.u.) = 0.00
- mass density (g/cm³) = 10.2

a b c (Å): 2.7929 2.7933 8.5404
angles (deg): 90.00 90.00 90.00
Element x y z (fractional)
Be (0.5000, 0.5000, 0.2408)
Be (0.0000, 0.0000, 0.1290)
Re (0.0000, 0.0000, 0.4175)
Tl (0.5000, 0.5000, 0.7126)



Entry 3:
Here is a relaxed Be2TlRe crystal from Alexandria. Energies are from PBE.

Calculated values
- DFT formation energy (kJ per mole of atoms) = 56
- DOS at the Fermi energy (states/eV per cell) = 1.76
- total magnetic moment (μB/f.u.) = 0.00
- mass density (g/cm³) = 12.7

a b c (Å): 4.0252 4.0267 3.3020
angles (deg): 90.00 90.00 90.00
Element x y z (fractional)
Re (0.5000, 0.0000, 0.5000)
Be (0.0000, 0.0000, 0.0000)
Be (0.5000, 0.5000, 0.0000)
Tl (0.0000, 0.5000, 0.5000)



Entry 4:
Here is a relaxed Be2TlRe crystal from Alexandria. Energies are from PBE.

Calculated values
- DFT formation energy (kJ per mole of atoms) = 73
- DOS at the Fermi energy (states/eV per cell) = 2.52
- total magnetic moment (μB/f.u.) = 0.00
- mass density (g/cm³) = 11.9

a b c (Å): 4.7589 4.7589 4.7589
angles (deg): 137.52 127.25 69.96
Element x y z (fractional)
Be (0.9842, 0.9842, 0.0000)
Be (0.5158, 0.5158, 0.0000)
Tl (0.2500, 0.7500, 0.5000)
Re (0.7500, 0.2500, 0.5000)



Entry 5:
Here is a relaxed BeTlRe crystal from Alexandria. Energies are from PBE.

Calculated values
- DFT formation energy (kJ per mole of atoms) = 79
- DOS at the Fermi energy (states/eV per cell) = 2.63
- total magnetic moment (μB/f.u.) = 0.00
- mass density (g/cm³) = 13.2

a b c (Å): 2.9351 2.9351 6.7156
angles (deg): 90.00 90.00 120.00
Element x y z (fractional)
Be (0.0000, 0.0000, 0.0366)
Re (0.6667, 0.3333, 0.2909)
Tl (0.3333, 0.6667, 0.6725)



Entry 6:
Here is a relaxed BeTlRe2 crystal from Alexandria. Energies are from PBE.

Calculated values
- DFT formation energy (kJ per mole of atoms) = 62
- DOS at the Fermi energy (states/eV per cell) = 2.39
- total magnetic moment (μB/f.u.) = 0.00
- mass density (g/cm³) = 13.4

a b c (Å): 4.2962 4.2962 6.5798
angles (deg): 72.86 72.86 39.12
Element x y z (fractional)
Re (0.9963, 0.9963, 0.9676)
Re (0.2120, 0.2120, 0.1508)
Tl (0.5463, 0.5463, 0.5471)
Be (0.7455, 0.7455, 0.8344)



Entry 7:
Here is a relaxed BeTlRe2 crystal from Alexandria. Energies are from PBE.

Calculated values
- DFT formation energy (kJ per mole of atoms) = 53
- DOS at the Fermi energy (states/eV per cell) = 2.42
- total magnetic moment (μB/f.u.) = 0.00
- mass density (g/cm³) = 15.6

a b c (Å): 2.9685 2.9685 7.0780
angles (deg): 90.00 90.00 90.00
Element x y z (fractional)
Re (0.0000, 0.0000, 0.9207)
Re (0.0000, 0.0000, 0.5793)
Be (0.5000, 0.5000, 0.7500)
Tl (0.5000, 0.5000, 0.2500)



Entry 8:
Here is a relaxed BeTlRe crystal from Alexandria. Energies are from PBE.

Calculated values
- DFT formation energy (kJ per mole of atoms) = 90
- DOS at the Fermi energy (states/eV per cell) = 1.79
- total magnetic moment (μB/f.u.) = 0.00
- mass density (g/cm³) = 13.9

a b c (Å): 4.3353 4.3353 2.9401
angles (deg): 90.00 90.00 120.00
Element x y z (fractional)
Be (0.0000, 0.0000, 0.0836)
Tl (0.6667, 0.3333, 0.7095)
Re (0.3333, 0.6667, 0.2068)



Entry 9:
Here is a relaxed BeTlRe2 crystal from Alexandria. Energies are from PBE.

Calculated values
- DFT formation energy (kJ per mole of atoms) = 94
- DOS at the Fermi energy (states/eV per cell) = 3.55
- total magnetic moment (μB/f.u.) = 0.00
- mass density (g/cm³) = 15.5

a b c (Å): 4.3258 3.8123 3.8123
angles (deg): 90.00 90.00 90.00
Element x y z (fractional)
Re (0.0000, 0.0000, 0.0000)
Re (0.0000, 0.5000, 0.5000)
Be (0.5000, 0.0000, 0.5000)
Tl (0.5000, 0.5000, 0.0000)



Entry 10:
Here is a relaxed Be2TlRe crystal from Alexandria. Energies are from PBE.

Calculated values
- DFT formation energy (kJ per mole of atoms) = 102
- DOS at the Fermi energy (states/eV per cell) = 1.99
- total magnetic moment (μB/f.u.) = 0.00
- mass density (g/cm³) = 11.6

a b c (Å): 4.3587 4.3587 4.3587
angles (deg): 60.00 60.00 60.00
Element x y z (fractional)
Tl (0.7500, 0.7500, 0.7500)
Be (0.0000, 0.0000, 0.0000)
Be (0.2500, 0.2500, 0.2500)
Re (0.5000, 0.5000, 0.5000)



Entry 11:
Here is a relaxed BeTlRe2 crystal from Alexandria. Energies are from PBE.

Calculated values
- DFT formation energy (kJ per mole of atoms) = 85
- DOS at the Fermi energy (states/eV per cell) = 2.33
- total magnetic moment (μB/f.u.) = 0.00
- mass density (g/cm³) = 15.5

a b c (Å): 3.1266 4.4293 4.5294
angles (deg): 90.00 90.00 90.00
Element x y z (fractional)
Re (0.5000, 0.5000, 0.0000)
Re (0.0000, 0.0000, 0.0000)
Tl (0.5000, 0.0000, 0.5000)
Be (0.0000, 0.5000, 0.5000)



Entry 12:
Here is a relaxed BeTl3Re crystal from Alexandria. Energies are from PBE.

Calculated values
- DFT formation energy (kJ per mole of atoms) = 129
- DOS at the Fermi energy (states/eV per cell) = 2.96
- total magnetic moment (μB/f.u.) = 3.82
- mass density (g/cm³) = 11.1

a b c (Å): 4.9419 4.9419 4.9419
angles (deg): 90.00 90.00 90.00
Site moments in Bohr magnetons follow the coordinates.
Element x y z (fractional)
Tl (0.0000, 0.5000, 0.0000)  -0.02
Tl (0.0000, 0.0000, 0.5000)  0.02
Tl (0.5000, 0.0000, 0.0000)  -0.01
Re (0.5000, 0.5000, 0.5000)  3.22
Be (0.0000, 0.0000, 0.0000)  0.06



Entry 13:
Here is a relaxed BeTlRe2 crystal from Alexandria. Energies are from PBE.

Calculated values
- DFT formation energy (kJ per mole of atoms) = 104
- DOS at the Fermi energy (states/eV per cell) = 5.31
- total magnetic moment (μB/f.u.) = 0.00
- mass density (g/cm³) = 15.2

a b c (Å): 4.9680 4.9680 2.8903
angles (deg): 90.00 90.00 116.57
Element x y z (fractional)
Tl (0.5000, 0.0000, 0.5000)
Re (0.5000, 0.5000, 0.0000)
Re (0.0000, 0.0000, 0.0000)
Be (0.0000, 0.5000, 0.5000)



Entry 14:
Here is a relaxed Be2TlRe crystal from Alexandria. Energies are from PBE.

Calculated values
- DFT formation energy (kJ per mole of atoms) = 87
- DOS at the Fermi energy (states/eV per cell) = 0.43
- total magnetic moment (μB/f.u.) = 0.00
- mass density (g/cm³) = 11.4

a b c (Å): 6.5937 6.5937 5.4110
angles (deg): 52.46 52.46 90.00
Element x y z (fractional)
Tl (0.0000, 0.0000, 0.0000)
Tl (0.7500, 0.2500, 0.5000)
Re (0.5000, 0.5000, 0.0000)
Re (0.2500, 0.7500, 0.5000)
Be (0.6003, 0.1250, 0.2500)
Be (0.3750, 0.3997, 0.7500)
Be (0.1497, 0.6250, 0.2500)
Be (0.8750, 0.8503, 0.7500)



Entry 15:
Here is a relaxed Be2TlRe crystal from Alexandria. Energies are from PBE.

Calculated values
- DFT formation energy (kJ per mole of atoms) = 79
- DOS at the Fermi energy (states/eV per cell) = 2.76
- total magnetic moment (μB/f.u.) = 0.00
- mass density (g/cm³) = 11.8

a b c (Å): 2.9393 4.8308 5.0406
angles (deg): 53.44 90.00 90.00
Element x y z (fractional)
Be (0.5000, 0.5000, 0.0000)
Be (0.0000, 0.0000, 0.0000)
Tl (0.0000, 0.0000, 0.5000)
Re (0.5000, 0.5000, 0.5000)



Entry 16:
Here is a relaxed Be2TlRe crystal from Alexandria. Energies are from PBE.

Calculated values
- DFT formation energy (kJ per mole of atoms) = 46
- DOS at the Fermi energy (states/eV per cell) = 0.42
- total magnetic moment (μB/f.u.) = 0.00
- mass density (g/cm³) = 12.1

a b c (Å): 5.2954 5.2954 5.2954
angles (deg): 142.72 140.93 55.11
Element x y z (fractional)
Tl (0.2713, 0.7713, 0.5000)
Re (0.5185, 0.5185, 0.0000)
Be (0.0215, 0.0215, 0.0000)
Be (0.6887, 0.1887, 0.5000)



Entry 17:
Here is a relaxed BeTlRe2 crystal from Alexandria. Energies are from PBE.

Calculated values
- DFT formation energy (kJ per mole of atoms) = 77
- DOS at the Fermi energy (states/eV per cell) = 2.64
- total magnetic moment (μB/f.u.) = 0.00
- mass density (g/cm³) = 15.7

a b c (Å): 2.8208 2.8208 8.2569
angles (deg): 90.00 90.00 109.85
Element x y z (fractional)
Be (0.5000, 0.5000, 0.7500)
Re (0.0000, 0.0000, 0.9472)
Re (0.0000, 0.0000, 0.5528)
Tl (0.5000, 0.5000, 0.2500)



Entry 18:
Here is a relaxed BeTl3Re crystal from Alexandria. Energies are from PBE.

Calculated values
- DFT formation energy (kJ per mole of atoms) = 113
- DOS at the Fermi energy (states/eV per cell) = 3.59
- total magnetic moment (μB/f.u.) = 0.00
- mass density (g/cm³) = 8.7

a b c (Å): 5.3573 5.3573 5.3573
angles (deg): 90.00 90.00 90.00
Element x y z (fractional)
Be (0.5000, 0.5000, 0.5000)
Re (0.0000, 0.0000, 0.0000)
Tl (0.0000, 0.0000, 0.5000)
Tl (0.5000, 0.0000, 0.0000)
Tl (0.0000, 0.5000, 0.0000)



Entry 19:
Here is a relaxed Be3TlRe crystal from Alexandria. Energies are from PBE.

Calculated values
- DFT formation energy (kJ per mole of atoms) = 189
- DOS at the Fermi energy (states/eV per cell) = 2.72
- total magnetic moment (μB/f.u.) = 2.26
- mass density (g/cm³) = 8.3

a b c (Å): 4.3632 4.3632 4.3632
angles (deg): 90.00 90.00 90.00
Site moments in Bohr magnetons follow the coordinates.
Element x y z (fractional)
Tl (0.0000, 0.0000, 0.0000)  0.04
Be (0.5000, 0.0000, 0.0000)  -0.02
Be (0.0000, 0.0000, 0.5000)  0.00
Be (0.0000, 0.5000, 0.0000)  -0.02
Re (0.5000, 0.5000, 0.5000)  2.00



Entry 20:
Here is a relaxed BeTlRe crystal from Alexandria. Energies are from PBE.

Calculated values
- DFT formation energy (kJ per mole of atoms) = 79
- DOS at the Fermi energy (states/eV per cell) = 2.27
- total magnetic moment (μB/f.u.) = 0.00
- mass density (g/cm³) = 12.5

a b c (Å): 7.1466 7.0332 2.8268
angles (deg): 80.76 76.26 22.98
Element x y z (fractional)
Re (0.3601, 0.3601, 0.6399)
Tl (0.6726, 0.6726, 0.3274)
Be (0.9673, 0.9673, 0.0327)



Entry 21:
Here is a relaxed ZrBe2TlRe crystal from Alexandria. Energies are from PBE.

Calculated values
- DFT formation energy (kJ per mole of atoms) = 84
- DOS at the Fermi energy (states/eV per cell) = 3.42
- total magnetic moment (μB/f.u.) = 0.00
- mass density (g/cm³) = 8.7

a b c (Å): 4.3349 5.0957 4.3349
angles (deg): 90.00 90.00 90.00
Element x y z (fractional)
Re (0.0000, 0.0000, 0.0000)
Tl (0.0000, 0.5000, 0.0000)
Be (0.0000, 0.0000, 0.5000)
Be (0.5000, 0.0000, 0.0000)
Zr (0.5000, 0.5000, 0.5000)



Entry 22:
Here is a relaxed TmBe17Re crystal from Alexandria. Energies are from PBE.

Calculated values
- DFT formation energy (kJ per mole of atoms) = -10
- DOS at the Fermi energy (states/eV per cell) = 4.84
- total magnetic moment (μB/f.u.) = 0.00
- mass density (g/cm³) = 4.9

a b c (Å): 5.6085 5.6085 5.6085
angles (deg): 83.03 83.03 83.03
Element x y z (fractional)
Be (0.5012, 0.9998, 0.9998)
Be (0.3400, 0.8484, 0.3400)
Be (0.1027, 0.1027, 0.1027)
Be (0.9082, 0.9082, 0.9082)
Be (0.2890, 0.7038, 0.0067)
Be (0.9998, 0.5012, 0.9998)
Be (0.0067, 0.2890, 0.7038)
Be (0.6498, 0.1655, 0.6498)
Be (0.3400, 0.3400, 0.8484)
Be (0.7038, 0.2890, 0.0067)
Be (0.6498, 0.6498, 0.1655)
Be (0.9998, 0.9998, 0.5012)
Be (0.7038, 0.0067, 0.2890)
Be (0.0067, 0.7038, 0.2890)
Be (0.8484, 0.3400, 0.3400)
Be (0.1655, 0.6498, 0.6498)
Be (0.2890, 0.0067, 0.7038)
Re (0.3360, 0.3360, 0.3360)
Tm (0.6598, 0.6598, 0.6598)



Entry 23:
Here is a relaxed UBeRe crystal from Alexandria. Energies are from PBE.

Calculated values
- DFT formation energy (kJ per mole of atoms) = 21
- DOS at the Fermi energy (states/eV per cell) = 12.51
- total magnetic moment (μB/f.u.) = 0.00
- mass density (g/cm³) = 15.2

a b c (Å): 5.3300 5.3300 5.7854
angles (deg): 90.00 90.00 120.00
Element x y z (fractional)
U (0.7743, 0.5755, 0.3856)
U (0.8012, 0.2257, 0.7190)
U (0.4245, 0.1988, 0.0523)
Be (0.2145, 0.5622, 0.1284)
Be (0.4378, 0.6523, 0.7951)
Be (0.3477, 0.7855, 0.4617)
Re (0.2092, 0.2348, 0.4860)
Re (0.0257, 0.7908, 0.8193)
Re (0.7652, 0.9743, 0.1526)



Entry 24:
Here is a relaxed UBe4Re crystal from Alexandria. Energies are from PBE.

Calculated values
- DFT formation energy (kJ per mole of atoms) = 14
- DOS at the Fermi energy (states/eV per cell) = 8.58
- total magnetic moment (μB/f.u.) = 1.28
- mass density (g/cm³) = 10.3

a b c (Å): 4.7138 4.7138 4.7138
angles (deg): 60.00 60.00 60.00
Site moments in Bohr magnetons follow the coordinates.
Element x y z (fractional)
Be (0.6267, 0.6267, 0.6267)  0.00
Be (0.6267, 0.6267, 0.1198)  0.00
Be (0.1198, 0.6267, 0.6267)  0.00
Be (0.6267, 0.1198, 0.6267)  0.00
Re (0.0000, 0.0000, 0.0000)  -0.20
U (0.2500, 0.2500, 0.2500)  1.42



Entry 25:
Here is a relaxed UBe17Re crystal from Alexandria. Energies are from PBE.

Calculated values
- DFT formation energy (kJ per mole of atoms) = 0
- DOS at the Fermi energy (states/eV per cell) = 9.46
- total magnetic moment (μB/f.u.) = 1.94
- mass density (g/cm³) = 5.4

a b c (Å): 5.6415 5.6415 5.6415
angles (deg): 83.11 83.11 83.11
Site moments in Bohr magnetons follow the coordinates.
Element x y z (fractional)
Be (0.3417, 0.3417, 0.8517)  0.01
Be (0.7039, 0.2881, 0.0070)  0.00
Be (0.6511, 0.6511, 0.1639)  0.00
Be (0.9082, 0.9082, 0.9082)  0.01
Be (0.0070, 0.7039, 0.2881)  0.00
Be (0.0070, 0.2881, 0.7039)  0.00
Be (0.9984, 0.9984, 0.5010)  -0.01
Be (0.8517, 0.3417, 0.3417)  0.01
Be (0.2881, 0.7039, 0.0070)  0.00
Be (0.1639, 0.6511, 0.6511)  0.00
Be (0.2881, 0.0070, 0.7039)  0.00
Be (0.7039, 0.0070, 0.2881)  0.00
Be (0.1021, 0.1021, 0.1021)  0.00
Be (0.5010, 0.9984, 0.9984)  -0.01
Be (0.3417, 0.8517, 0.3417)  0.01
Be (0.9984, 0.5010, 0.9984)  -0.01
Be (0.6511, 0.1639, 0.6511)  0.00
U (0.6608, 0.6608, 0.6608)  1.66
Re (0.3316, 0.3316, 0.3316)  0.03



Entry 26:
Here is a relaxed Be2VRe2 crystal from Alexandria. Energies are from PBE.

Calculated values
- DFT formation energy (kJ per mole of atoms) = -31
- DOS at the Fermi energy (states/eV per cell) = 5.60
- total magnetic moment (μB/f.u.) = 0.00
- mass density (g/cm³) = 12.8

a b c (Å): 6.0490 6.0490 3.1242
angles (deg): 90.00 90.00 90.00
Element x y z (fractional)
Be (0.3810, 0.8810, 0.0000)
Be (0.6190, 0.1190, 0.0000)
Be (0.1190, 0.3810, 0.0000)
Be (0.8810, 0.6190, 0.0000)
Re (0.3231, 0.1769, 0.5000)
Re (0.1769, 0.6769, 0.5000)
Re (0.6769, 0.8231, 0.5000)
Re (0.8231, 0.3231, 0.5000)
V (0.5000, 0.5000, 0.0000)
V (0.0000, 0.0000, 0.0000)



Entry 27:
Here is a relaxed Be2V2Re crystal from Alexandria. Energies are from PBE.

Calculated values
- DFT formation energy (kJ per mole of atoms) = -28
- DOS at the Fermi energy (states/eV per cell) = 2.61
- total magnetic moment (μB/f.u.) = 0.00
- mass density (g/cm³) = 8.9

a b c (Å): 6.0970 6.0970 3.0589
angles (deg): 90.00 90.00 90.00
Element x y z (fractional)
Be (0.6191, 0.1191, 0.0000)
Be (0.8809, 0.6191, 0.0000)
Be (0.1191, 0.3809, 0.0000)
Be (0.3809, 0.8809, 0.0000)
V (0.8225, 0.3225, 0.5000)
V (0.1775, 0.6775, 0.5000)
V (0.3225, 0.1775, 0.5000)
V (0.6775, 0.8225, 0.5000)
Re (0.0000, 0.0000, 0.0000)
Re (0.5000, 0.5000, 0.0000)